9
Lattice="3.1965 0.0000 0.7555 1.4007 5.1295 1.2135 0.1346 -0.1138 6.5703" Properties=species:S:1:pos:R:3 comment="Li4PuO4 PBE relaxed" formation_energy_uncorrected_ev_per_atom=-2.21 m_tot_mub_per_atom=0.44 energy_ev_per_atom=-6.86 density_kg_m3=5185 pbc="T T T"
Li 2.8424 2.0955 2.2540
Li 4.0450 4.5546 4.3059
Li 1.8895 2.9202 6.2854
Li 0.6869 0.4611 4.2335
Pu 1.5983 0.0000 0.3778
O 1.1284 0.6474 2.3659
O 3.6035 4.3683 6.1735
O 3.4505 1.3646 6.8209
O 1.2814 3.6511 1.7185

***

4
Lattice="5.0539 0.0000 0.0000 2.5269 4.3768 0.0000 2.5269 1.4589 4.1265" Properties=species:S:1:pos:R:3 comment="LiSmSnAu PBE relaxed" m_tot_mub_per_atom=0.00 energy_ev_per_atom=-4.09 density_kg_m3=8605 ef_mev_per_atom=-615 pbc="T T T"
Au 7.5808 4.3768 3.0948
Sn 2.5269 1.4589 1.0316
Sm 0.0000 0.0000 0.0000
Li 5.0539 2.9178 2.0632

***

12
Lattice="6.6622 -0.2501 0.0005 -0.2672 7.2226 -0.0174 0.0094 0.0001 8.4134" Properties=species:S:1:pos:R:3 comment="La8CoRuAu2 PBE relaxed" m_tot_mub_per_atom=0.00 energy_ev_per_atom=-5.51 density_kg_m3=6840 ef_mev_per_atom=-309 pbc="T T T"
La 0.7326 5.5560 2.0935
La 4.1666 5.5806 -0.0128
La 5.6673 1.4111 2.1078
La 5.6717 1.4167 6.3030
La 2.2377 1.3921 8.4092
La 0.7370 5.5615 6.2887
La 4.0390 5.4439 4.1984
La 2.3653 1.5288 4.1981
Co 0.0000 0.0000 0.0000
Ru 0.0047 0.0001 4.2067
Au 3.1980 3.4855 6.3848
Au 3.2063 3.4871 2.0117

***

4
Lattice="-1.8404 -0.0058 -2.5656 2.6662 -0.1675 -1.9123 -0.2943 -7.3166 0.2278" Properties=species:S:1:pos:R:3 comment="AlCr2Br PBE relaxed" formation_energy_uncorrected_ev_per_atom=0.29 m_tot_mub_per_atom=1.83 energy_ev_per_atom=-5.88 density_kg_m3=4608 de_polymorph_mev_per_atom=99.1 pbc="T T T"
Cr 1.9873 -0.4557 -1.4246
Cr 1.8649 -3.4538 -1.3299
Al -0.3273 -1.8739 -1.7039
Br 0.8587 -5.6159 -2.5461